1.
The following is a DFT calculation (GGA-PBE) of an optimized crystal structure of NiP2Rh.

The calculation puts the distance to the lowest polymorph of the same formula at 0.2144 eV/atom. The value obtained for the density of states at the Fermi level is 5.5 states/eV/cell. The value obtained for the energy of formation from the pure elements is -227 meV per atom.

The structure belongs to space group C2/m (No. 12); the cell edges are 7.3076, 2.8986 and 4.9634 Å and the angles 90.00°, 102.69° and 90.00°. The distinct sites, in fractional coordinates, are Ni at (0.0000, 0.0000, 0.0000), P at (0.2490, 0.0000, 0.7675) and Rh at (0.0000, 0.5000, 0.5000).

2.
The following is a DFT calculation (GGA-PBE) of an optimized crystal structure of NiPRh.

The value obtained for the density of states at the Fermi level is 3.7 states/eV/cell. The value obtained for the energy of formation from the pure elements is -398 meV per atom.

The structure belongs to space group Cmcm (No. 63); the cell edges are 3.2473, 13.1818 and 3.5499 Å and the angles 90.00°, 90.00° and 90.00°. The distinct sites, in fractional coordinates, are Ni at (0.0000, 0.2444, 0.2500), P at (0.0000, 0.3711, 0.7500) and Rh at (0.0000, 0.0832, 0.7500).